Entry a
Compound: Na2Li2P
Source: Alexandria via LeMat-Bulk
Functional: GGA-PBE
Structure: optimized geometry

## Properties
ρ = 1191 kg/m³
Volume = 25.32 Å³/atom

```
data_Na2Li2P
_cell_length_a 4.176
_cell_length_b 4.176
_cell_length_c 8.723
_cell_angle_alpha 76.15
_cell_angle_beta 76.15
_cell_angle_gamma 60.00
_space_group_name_H-M_alt 'P 1'
_space_group_IT_number 1
_space_group_name_Hall 'P 1'
loop_
_atom_site_label
_atom_site_fract_x
_atom_site_fract_y
_atom_site_fract_z
Na1 0.430 0.430 0.710
Na2 0.570 0.570 0.290
P1 0.000 0.000 0.000
Li1 0.686 0.686 0.943
Li2 0.314 0.314 0.057
```



Entry b
Compound: Na2Li2P
Source: Alexandria via LeMat-Bulk
Functional: GGA-PBE
Structure: optimized geometry

## Properties
ρ = 1411 kg/m³
Volume = 21.37 Å³/atom

```
data_Na2Li2P
_cell_length_a 6.505
_cell_length_b 6.505
_cell_length_c 5.050
_cell_angle_alpha 90.00
_cell_angle_beta 90.00
_cell_angle_gamma 90.00
_space_group_name_H-M_alt 'P 1'
_space_group_IT_number 1
_space_group_name_Hall 'P 1'
loop_
_atom_site_label
_atom_site_fract_x
_atom_site_fract_y
_atom_site_fract_z
Li1 0.334 0.834 0.000
Li2 0.166 0.334 0.000
Li3 0.834 0.666 0.000
Li4 0.666 0.166 0.000
Na1 0.191 0.691 0.500
Na2 0.809 0.309 0.500
Na3 0.309 0.191 0.500
Na4 0.691 0.809 0.500
P1 0.500 0.500 0.000
P2 0.000 0.000 0.000
```



Consider the structures shown above. The most stable of them is entry a.